Model a:
The following is a PBE calculation of an optimized crystal structure of Li2Cu2Ni3, from Alexandria via LeMat-Bulk.

a b c (Å): 2.5057 5.7163 6.2081
angles (deg): 110.77 90.03 102.59
With the nearest neighbours (Å) after each atom.
Positions (direct):
Li (0.2121, 0.4248, 0.1482)  3 Cu 2.46-2.57, 4 Li 2.51-2.61, 5 Ni 2.54-2.66
Li (0.7879, 0.5752, 0.8518)  3 Cu 2.46-2.57, 4 Li 2.51-2.61, 5 Ni 2.54-2.66
Cu (0.3591, 0.7142, 0.5558)  3 Li 2.46-2.57, 5 Ni 2.47-2.64, 4 Cu 2.51-2.57
Cu (0.6409, 0.2858, 0.4442)  3 Li 2.46-2.57, 5 Ni 2.47-2.64, 4 Cu 2.51-2.57
Ni (0.0608, 0.1237, 0.7199)  5 Ni 2.44-2.57, 4 Cu 2.47-2.54, 3 Li 2.58-2.66
Ni (0.5000, 0.0000, 0.0000)  6 Ni 2.44-2.51, 4 Li 2.54, 2 Cu 2.64
Ni (0.9392, 0.8763, 0.2801)  5 Ni 2.44-2.57, 4 Cu 2.47-2.54, 3 Li 2.58-2.66

Properties
The calculation puts the size of the total moment at 0.002 Bohr magnetons per cell. Its symmetry is P-1.

---

Model b:
The following is a PBE calculation of an optimized crystal structure of Li2Cu2Ni3, from Alexandria via LeMat-Bulk.

a b c (Å): 4.3344 4.3344 5.5844
angles (deg): 98.08 98.08 50.15
With the nearest neighbours (Å) after each atom.
Positions (direct):
Li (0.0676, 0.0676, 0.2204)  6 Ni 2.43-2.54, 5 Cu 2.49-2.61, 1 Li 2.53
Li (0.9324, 0.9324, 0.7796)  6 Ni 2.43-2.54, 5 Cu 2.49-2.61, 1 Li 2.53
Cu (0.3517, 0.3517, 0.0747)  4 Ni 2.48-2.56, 5 Li 2.49-2.61, 3 Cu 2.49-2.59
Cu (0.6483, 0.6483, 0.9253)  4 Ni 2.48-2.56, 5 Li 2.49-2.61, 3 Cu 2.49-2.59
Ni (0.2165, 0.2165, 0.6351)  4 Li 2.43-2.54, 5 Ni 2.46-2.54, 3 Cu 2.52-2.56
Ni (0.5000, 0.5000, 0.5000)  6 Ni 2.46-2.54, 2 Cu 2.48, 4 Li 2.52
Ni (0.7835, 0.7835, 0.3649)  4 Li 2.43-2.54, 5 Ni 2.46-2.54, 3 Cu 2.52-2.56

Properties
The calculation puts the size of the total moment at 0.063 Bohr magnetons per cell. Its symmetry is C2/m.

---

The most stable of them is model a.

---

Model a:
The following is a PBE calculation of an optimized crystal structure of Li2CuNi2, from Alexandria via LeMat-Bulk.

a b c (Å): 7.2596 7.2596 7.2596
angles (deg): 154.53 154.53 36.34
With the nearest neighbours (Å) after each atom.
Positions (direct):
Li (0.1022, 0.1022, 0.0000)  4 Ni 2.59, 4 Cu 2.67, 1 Li 2.82
Li (0.8978, 0.8978, 0.0000)  4 Ni 2.59, 4 Cu 2.67, 1 Li 2.82
Cu (0.5000, 0.5000, 0.0000)  8 Li 2.67
Ni (0.2500, 0.7500, 0.5000)  4 Ni 2.26
Ni (0.7500, 0.2500, 0.5000)  4 Ni 2.26

Properties
The calculation puts the size of the total moment at 0.880 Bohr magnetons per cell. Its symmetry is I4/mmm.

---

Model b:
The following is a PBE calculation of an optimized crystal structure of Li2CuNi2, from Alexandria via LeMat-Bulk.

a b c (Å): 6.5977 6.5977 6.5977
angles (deg): 152.45 152.45 39.36
With the nearest neighbours (Å) after each atom.
Positions (direct):
Li (0.2500, 0.7500, 0.5000)  4 Li 2.22, 4 Ni 2.48
Li (0.7500, 0.2500, 0.5000)  4 Li 2.22, 4 Ni 2.48
Cu (0.0000, 0.0000, 0.0000)  8 Ni 2.52
Ni (0.4046, 0.4046, 0.0000)  1 Ni 2.37, 4 Li 2.48, 4 Cu 2.52
Ni (0.5954, 0.5954, 0.0000)  1 Ni 2.37, 4 Li 2.48, 4 Cu 2.52

Properties
The calculation puts the size of the total moment at 0.000 Bohr magnetons per cell. Its symmetry is I4/mmm.

---

The most stable of them is model a.

---

Model a:
The following is a PBE calculation of an optimized crystal structure of Li2CuNi2, from Alexandria via LeMat-Bulk.

a b c (Å): 6.1945 6.1945 2.4518
angles (deg): 99.87 99.87 38.61
With the nearest neighbours (Å) after each atom.
Positions (direct):
Li (0.1077, 0.1077, 0.4102)  3 Ni 2.38-2.40, 3 Li 2.45-2.63, 2 Cu 2.52
Li (0.8923, 0.8923, 0.5898)  3 Ni 2.38-2.40, 3 Li 2.45-2.63, 2 Cu 2.52
Cu (0.5000, 0.5000, 0.0000)  2 Cu 2.45, 4 Ni 2.49-2.71, 4 Li 2.52
Ni (0.3012, 0.3012, 0.2304)  3 Li 2.38-2.40, 4 Ni 2.45-2.53, 1 Cu 2.49
Ni (0.6988, 0.6988, 0.7696)  3 Li 2.38-2.40, 4 Ni 2.45-2.53, 1 Cu 2.49

Properties
The calculation puts the size of the total moment at 0.000 Bohr magnetons per cell. Its symmetry is C2/m.

---

Model b:
The following is a PBE calculation of an optimized crystal structure of Li2CuNi2, from Alexandria via LeMat-Bulk.

a b c (Å): 6.6598 6.6598 2.5588
angles (deg): 90.00 90.00 90.00
With the nearest neighbours (Å) after each atom.
Positions (direct):
Li (0.1224, 0.3776, 0.0000)  6 Ni 2.27-2.41, 1 Li 2.31
Li (0.3776, 0.8776, 0.0000)  6 Ni 2.27-2.41, 1 Li 2.31
Li (0.6224, 0.1224, 0.0000)  6 Ni 2.27-2.41, 1 Li 2.31
Li (0.8776, 0.6224, 0.0000)  6 Ni 2.27-2.41, 1 Li 2.31
Cu (0.0000, 0.0000, 0.0000)  2 Cu 2.56, 4 Li 2.64, 8 Ni 2.76
Cu (0.5000, 0.5000, 0.0000)  2 Cu 2.56, 4 Li 2.64, 8 Ni 2.76
Ni (0.1790, 0.6790, 0.5000)  6 Li 2.27-2.41
Ni (0.3210, 0.1790, 0.5000)  6 Li 2.27-2.41
Ni (0.6790, 0.8210, 0.5000)  6 Li 2.27-2.41
Ni (0.8210, 0.3210, 0.5000)  6 Li 2.27-2.41

Properties
The calculation puts the size of the total moment at 0.000 Bohr magnetons per cell. Its symmetry is P4/mbm.

---

Model c:
The following is a PBE calculation of an optimized crystal structure of Li2CuNi2, from Alexandria via LeMat-Bulk.

a b c (Å): 4.8147 4.8147 6.6953
angles (deg): 109.22 109.22 53.74
With the nearest neighbours (Å) after each atom.
Positions (direct):
Li (0.0362, 0.3662, 0.1495)  6 Ni 2.45-2.66, 3 Cu 2.49-2.60, 3 Li 2.53-2.55
Li (0.3662, 0.0362, 0.6495)  6 Ni 2.45-2.66, 3 Cu 2.49-2.60, 3 Li 2.53-2.55
Li (0.6338, 0.9638, 0.3505)  6 Ni 2.45-2.66, 3 Cu 2.49-2.60, 3 Li 2.53-2.55
Li (0.9638, 0.6338, 0.8505)  6 Ni 2.45-2.66, 3 Cu 2.49-2.60, 3 Li 2.53-2.55
Cu (0.1858, 0.8142, 0.2500)  6 Ni 2.48-2.53, 6 Li 2.49-2.60
Cu (0.8142, 0.1858, 0.7500)  6 Ni 2.48-2.53, 6 Li 2.49-2.60
Ni (0.2298, 0.5888, 0.5578)  6 Li 2.45-2.66, 3 Ni 2.47-2.63, 3 Cu 2.48-2.53
Ni (0.4112, 0.7702, 0.9422)  6 Li 2.45-2.66, 3 Ni 2.47-2.63, 3 Cu 2.48-2.53
Ni (0.5888, 0.2298, 0.0578)  6 Li 2.45-2.66, 3 Ni 2.47-2.63, 3 Cu 2.48-2.53
Ni (0.7702, 0.4112, 0.4422)  6 Li 2.45-2.66, 3 Ni 2.47-2.63, 3 Cu 2.48-2.53

Properties
The calculation puts the size of the total moment at 0.000 Bohr magnetons per cell. Its symmetry is C2/c.

---

Model d:
The following is a PBE calculation of an optimized crystal structure of Li2CuNi2, from Alexandria via LeMat-Bulk.

a b c (Å): 6.5516 6.5516 2.7497
angles (deg): 90.00 90.00 90.00
With the nearest neighbours (Å) after each atom.
Positions (direct):
Li (0.1729, 0.3271, 0.0000)  6 Ni 2.31-2.41
Li (0.3271, 0.8271, 0.0000)  6 Ni 2.31-2.41
Li (0.6729, 0.1729, 0.0000)  6 Ni 2.31-2.41
Li (0.8271, 0.6729, 0.0000)  6 Ni 2.31-2.41
Cu (0.0000, 0.0000, 0.5000)  4 Ni 2.58, 2 Cu 2.75, 8 Li 2.79
Cu (0.5000, 0.5000, 0.5000)  4 Ni 2.58, 2 Cu 2.75, 8 Li 2.79
Ni (0.1266, 0.6266, 0.5000)  6 Li 2.31-2.41, 1 Ni 2.35, 2 Cu 2.58
Ni (0.3734, 0.1266, 0.5000)  6 Li 2.31-2.41, 1 Ni 2.35, 2 Cu 2.58
Ni (0.6266, 0.8734, 0.5000)  6 Li 2.31-2.41, 1 Ni 2.35, 2 Cu 2.58
Ni (0.8734, 0.3734, 0.5000)  6 Li 2.31-2.41, 1 Ni 2.35, 2 Cu 2.58

Properties
The calculation puts the size of the total moment at 0.000 Bohr magnetons per cell. Its symmetry is P4/mbm.

---

The most stable of them is model a.

---

Model a:
The following is a PBE calculation of an optimized crystal structure of Li3CuNi, from Alexandria via LeMat-Bulk.

a b c (Å): 4.9724 4.1549 6.4963
angles (deg): 90.00 103.01 90.00
With the nearest neighbours (Å) after each atom.
Positions (direct):
Li (0.0581, 0.0000, 0.3502)  4 Li 2.47-2.58, 2 Ni 2.62, 1 Cu 2.66
Li (0.2520, 0.0005, 0.7483)  1 Ni 2.43, 1 Cu 2.50, 6 Li 2.55-2.63
Li (0.4382, 0.0007, 0.1613)  4 Li 2.47-2.63, 1 Ni 2.51, 2 Cu 2.55
Li (0.5618, 0.5007, 0.8387)  4 Li 2.47-2.63, 1 Ni 2.51, 2 Cu 2.55
Li (0.7480, 0.5005, 0.2517)  1 Ni 2.43, 1 Cu 2.50, 6 Li 2.55-2.63
Li (0.9419, 0.5000, 0.6498)  4 Li 2.47-2.58, 2 Ni 2.62, 1 Cu 2.66
Cu (0.1377, 0.5010, 0.0657)  1 Ni 2.49, 4 Li 2.50-2.66, 2 Cu 2.53
Cu (0.8623, 0.0010, 0.9343)  1 Ni 2.49, 4 Li 2.50-2.66, 2 Cu 2.53
Ni (0.3831, 0.4995, 0.4447)  2 Ni 2.41, 4 Li 2.43-2.62, 1 Cu 2.49
Ni (0.6169, 0.9995, 0.5553)  2 Ni 2.41, 4 Li 2.43-2.62, 1 Cu 2.49

Properties
The calculation puts the size of the total moment at 0.000 Bohr magnetons per cell. Its symmetry is P2_1.

---

Model b:
The following is a PBE calculation of an optimized crystal structure of Li3CuNi, from Alexandria via LeMat-Bulk.

a b c (Å): 5.0404 5.0404 6.4721
angles (deg): 90.76 90.76 62.89
With the nearest neighbours (Å) after each atom.
Positions (direct):
Li (0.0000, 0.0000, 0.0000)  4 Ni 2.52, 2 Li 2.63
Li (0.2486, 0.2486, 0.3109)  2 Ni 2.40, 3 Cu 2.47-2.63
Li (0.2502, 0.7498, 0.5000)  6 Li 2.63-2.81, 4 Cu 2.81-2.82
Li (0.5000, 0.5000, 0.0000)  4 Ni 2.52, 2 Li 2.63
Li (0.7498, 0.2502, 0.5000)  6 Li 2.63-2.81, 4 Cu 2.81-2.82
Li (0.7514, 0.7514, 0.6891)  2 Ni 2.40, 3 Cu 2.47-2.63
Cu (0.2510, 0.2510, 0.6933)  2 Ni 2.38, 3 Li 2.47-2.63
Cu (0.7490, 0.7490, 0.3067)  2 Ni 2.38, 3 Li 2.47-2.63
Ni (0.0000, 0.5000, 0.0000)  2 Cu 2.38, 6 Li 2.40-2.52, 2 Ni 2.63
Ni (0.5000, 0.0000, 0.0000)  2 Cu 2.38, 6 Li 2.40-2.52, 2 Ni 2.63

Properties
The calculation puts the size of the total moment at 0.000 Bohr magnetons per cell. Its symmetry is C2/m.

---

Model c:
The following is a PBE calculation of an optimized crystal structure of Li3CuNi, from Alexandria via LeMat-Bulk.

a b c (Å): 4.4230 4.4230 4.4230
angles (deg): 90.00 90.00 90.00
With the nearest neighbours (Å) after each atom.
Positions (direct):
Li (0.0000, 0.0000, 0.5000)  2 Ni 2.21
Li (0.0000, 0.5000, 0.0000)  2 Ni 2.21
Li (0.5000, 0.0000, 0.0000)  2 Ni 2.21
Cu (0.5000, 0.5000, 0.5000)  12 Li 3.13
Ni (0.0000, 0.0000, 0.0000)  6 Li 2.21

Properties
The calculation puts the size of the total moment at 0.000 Bohr magnetons per cell. Its symmetry is Pm-3m.

---

The most stable of them is model a.

---

Model a:
The following is a PBE calculation of an optimized crystal structure of Li2Cu2Ni, from Alexandria via LeMat-Bulk.

a b c (Å): 4.0930 4.0930 4.7998
angles (deg): 115.59 115.59 59.85
With the nearest neighbours (Å) after each atom.
Positions (direct):
Li (0.1982, 0.1982, 0.0949)  4 Cu 2.43-2.54, 1 Ni 2.48, 3 Li 2.49
Li (0.8018, 0.8018, 0.9051)  4 Cu 2.43-2.54, 1 Ni 2.48, 3 Li 2.49
Cu (0.3927, 0.3927, 0.6786)  4 Li 2.43-2.54, 3 Ni 2.47-2.48, 1 Cu 2.67
Cu (0.6073, 0.6073, 0.3214)  4 Li 2.43-2.54, 3 Ni 2.47-2.48, 1 Cu 2.67
Ni (0.0000, 0.0000, 0.5000)  6 Cu 2.47-2.48, 2 Li 2.48

Properties
The calculation puts the size of the total moment at 0.000 Bohr magnetons per cell. Its symmetry is C2/m.

---

Model b:
The following is a PBE calculation of an optimized crystal structure of Li2Cu2Ni, from Alexandria via LeMat-Bulk.

a b c (Å): 6.0639 6.0639 3.7258
angles (deg): 90.00 90.00 90.00
With the nearest neighbours (Å) after each atom.
Positions (direct):
Li (0.1719, 0.3281, 0.0000)  6 Cu 2.48-2.65
Li (0.3281, 0.8281, 0.0000)  6 Cu 2.48-2.65
Li (0.6719, 0.1719, 0.0000)  6 Cu 2.48-2.65
Li (0.8281, 0.6719, 0.0000)  6 Cu 2.48-2.65
Cu (0.1370, 0.6370, 0.5000)  1 Cu 2.35, 2 Ni 2.35, 2 Li 2.48
Cu (0.3630, 0.1370, 0.5000)  1 Cu 2.35, 2 Ni 2.35, 2 Li 2.48
Cu (0.6370, 0.8630, 0.5000)  1 Cu 2.35, 2 Ni 2.35, 2 Li 2.48
Cu (0.8630, 0.3630, 0.5000)  1 Cu 2.35, 2 Ni 2.35, 2 Li 2.48
Ni (0.0000, 0.0000, 0.5000)  4 Cu 2.35
Ni (0.5000, 0.5000, 0.5000)  4 Cu 2.35

Properties
The calculation puts the size of the total moment at 0.000 Bohr magnetons per cell. Its symmetry is P4/mbm.

---

The most stable of them is model a.